# 1
! Er3Tm4Sc4, optimized geometry, DFT PBE; values from VASP
! Distance to the lowest polymorph of the same formula (kJ/mol of formula units): 20
! Fermi-level density of states (states/eV/cell): 22.165
&SYSTEM
  ibrav = 0, nat = 11, ntyp = 3
/
ATOMIC_SPECIES
Er 167.26 Er.upf
Tm 168.93 Tm.upf
Sc 44.96 Sc.upf
CELL_PARAMETERS angstrom
3.3794 0.0000 0.0000
-0.0001 5.3569 0.0000
-1.6868 -2.6713 17.0471
ATOMIC_POSITIONS crystal
Er 0.0000 0.0000 0.0000
Er 0.1379 0.6387 0.2762
Er 0.8621 0.3613 0.7238
Tm 0.3183 0.8177 0.6361
Tm 0.4531 0.4526 0.9059
Tm 0.5469 0.5474 0.0941
Tm 0.6817 0.1823 0.3639
Sc 0.2659 0.2660 0.5322
Sc 0.4087 0.9079 0.8168
Sc 0.5913 0.0921 0.1832
Sc 0.7341 0.7340 0.4678



# 2
! ErTm8Sc6, optimized geometry, DFT PBE; values from VASP
! Distance to the lowest polymorph of the same formula (kJ/mol of formula units): 0
! Fermi-level density of states (states/eV/cell): 25.931
&SYSTEM
  ibrav = 0, nat = 15, ntyp = 3
/
ATOMIC_SPECIES
Er 167.26 Er.upf
Tm 168.93 Tm.upf
Sc 44.96 Sc.upf
CELL_PARAMETERS angstrom
4.3086 2.4876 6.5968
-4.3086 2.4876 6.5968
0.0000 -4.9751 6.5968
ATOMIC_POSITIONS crystal
Er 0.0000 0.0000 0.0000
Tm 0.1107 0.7499 0.7152
Tm 0.2501 0.2848 0.8893
Tm 0.2848 0.8893 0.2501
Tm 0.4216 0.4216 0.4216
Tm 0.5784 0.5784 0.5784
Tm 0.7152 0.1107 0.7499
Tm 0.7499 0.7152 0.1107
Tm 0.8893 0.2501 0.2848
Sc 0.1043 0.2431 0.5355
Sc 0.2431 0.5355 0.1043
Sc 0.4645 0.8957 0.7569
Sc 0.5355 0.1043 0.2431
Sc 0.7569 0.4645 0.8957
Sc 0.8957 0.7569 0.4645



# 3
! Er3Tm3Sc5, optimized geometry, DFT PBE; values from VASP
! Fermi-level density of states (states/eV/cell): 15.997
&SYSTEM
  ibrav = 0, nat = 11, ntyp = 3
/
ATOMIC_SPECIES
Er 167.26 Er.upf
Tm 168.93 Tm.upf
Sc 44.96 Sc.upf
CELL_PARAMETERS angstrom
9.0034 0.0000 0.0000
-4.5017 7.7971 0.0000
0.0000 0.0000 5.3658
ATOMIC_POSITIONS crystal
Er 0.0000 0.5898 0.0000
Er 0.4102 0.4102 0.0000
Er 0.5898 0.0000 0.0000
Tm 0.0000 0.3787 0.5000
Tm 0.3787 0.0000 0.5000
Tm 0.6213 0.6213 0.5000
Sc 0.0000 0.7513 0.5000
Sc 0.2487 0.2487 0.5000
Sc 0.3333 0.6667 0.5000
Sc 0.6667 0.3333 0.5000
Sc 0.7513 0.0000 0.5000



# 4
! ErTm6Sc6, optimized geometry, DFT PBE; values from VASP
! Fermi-level density of states (states/eV/cell): 21.556
&SYSTEM
  ibrav = 0, nat = 13, ntyp = 3
/
ATOMIC_SPECIES
Er 167.26 Er.upf
Tm 168.93 Tm.upf
Sc 44.96 Sc.upf
CELL_PARAMETERS angstrom
3.3154 -5.2946 0.0000
3.3154 5.2946 0.0000
0.0000 0.0000 10.5414
ATOMIC_POSITIONS crystal
Er 0.0000 0.0000 0.0000
Tm 0.0000 0.0000 0.3343
Tm 0.0000 0.0000 0.6657
Tm 0.2817 0.7183 0.5000
Tm 0.3516 0.6484 0.0000
Tm 0.6484 0.3516 0.0000
Tm 0.7183 0.2817 0.5000
Sc 0.0000 0.5000 0.2258
Sc 0.0000 0.5000 0.7742
Sc 0.5000 0.0000 0.2258
Sc 0.5000 0.0000 0.7742
Sc 0.5000 0.5000 0.2888
Sc 0.5000 0.5000 0.7112



# 5
! Er6TmSc6, optimized geometry, DFT PBE; values from VASP
! Fermi-level density of states (states/eV/cell): 21.417
&SYSTEM
  ibrav = 0, nat = 13, ntyp = 3
/
ATOMIC_SPECIES
Er 167.26 Er.upf
Tm 168.93 Tm.upf
Sc 44.96 Sc.upf
CELL_PARAMETERS angstrom
3.3219 -5.3003 0.0000
3.3219 5.3003 0.0000
0.0000 0.0000 10.5671
ATOMIC_POSITIONS crystal
Er 0.0000 0.0000 0.1670
Er 0.0000 0.0000 0.8330
Er 0.2821 0.7179 0.0000
Er 0.3516 0.6484 0.5000
Er 0.6484 0.3516 0.5000
Er 0.7179 0.2821 0.0000
Tm 0.0000 0.0000 0.5000
Sc 0.0000 0.5000 0.2742
Sc 0.0000 0.5000 0.7258
Sc 0.5000 0.0000 0.2742
Sc 0.5000 0.0000 0.7258
Sc 0.5000 0.5000 0.2113
Sc 0.5000 0.5000 0.7887



# 6
! ErTm3Sc8, optimized geometry, DFT PBE; values from VASP
! Fermi-level density of states (states/eV/cell): 23.779
&SYSTEM
  ibrav = 0, nat = 12, ntyp = 3
/
ATOMIC_SPECIES
Er 167.26 Er.upf
Tm 168.93 Tm.upf
Sc 44.96 Sc.upf
CELL_PARAMETERS angstrom
-5.0974 5.2819 2.9455
5.0974 -5.2819 2.9455
5.0974 5.2819 -2.9455
ATOMIC_POSITIONS crystal
Er 0.0000 0.0000 0.0000
Tm 0.0937 0.3439 0.7498
Tm 0.4998 0.9998 0.5000
Tm 0.5941 0.3439 0.2502
Sc 0.0070 0.3381 0.3311
Sc 0.0070 0.6759 0.6689
Sc 0.0867 0.0056 0.4194
Sc 0.0867 0.6674 0.0811
Sc 0.5072 0.3380 0.8308
Sc 0.5072 0.6764 0.1692
Sc 0.5863 0.0056 0.9189
Sc 0.5863 0.6674 0.5806



# 7
! Er3Tm8Sc2, optimized geometry, DFT PBE; values from VASP
! Distance to the lowest polymorph of the same formula (kJ/mol of formula units): 10
! Fermi-level density of states (states/eV/cell): 19.108
&SYSTEM
  ibrav = 0, nat = 13, ntyp = 3
/
ATOMIC_SPECIES
Er 167.26 Er.upf
Tm 168.93 Tm.upf
Sc 44.96 Sc.upf
CELL_PARAMETERS angstrom
3.7607 -9.6726 0.0000
3.7607 9.6726 0.0000
0.0000 0.0000 5.4818
ATOMIC_POSITIONS crystal
Er 0.0000 0.0000 0.0000
Er 0.2846 0.2846 0.5000
Er 0.7154 0.7154 0.5000
Tm 0.1355 0.8645 0.5000
Tm 0.1765 0.4012 0.0000
Tm 0.3251 0.6749 0.5000
Tm 0.4012 0.1765 0.0000
Tm 0.5988 0.8235 0.0000
Tm 0.6749 0.3251 0.5000
Tm 0.8235 0.5988 0.0000
Tm 0.8645 0.1355 0.5000
Sc 0.2412 0.7588 0.0000
Sc 0.7588 0.2412 0.0000



# 8
! ErTm3Sc3, optimized geometry, DFT PBE; values from VASP
! Distance to the lowest polymorph of the same formula (kJ/mol of formula units): 30
! Fermi-level density of states (states/eV/cell): 26.674
&SYSTEM
  ibrav = 0, nat = 14, ntyp = 3
/
ATOMIC_SPECIES
Er 167.26 Er.upf
Tm 168.93 Tm.upf
Sc 44.96 Sc.upf
CELL_PARAMETERS angstrom
4.1140 2.3752 6.8936
-4.1140 2.3752 6.8936
0.0000 -4.7504 6.8936
ATOMIC_POSITIONS crystal
Er 0.1514 0.1514 0.1514
Er 0.8486 0.8486 0.8486
Tm 0.0681 0.5653 0.2243
Tm 0.2243 0.0681 0.5653
Tm 0.4347 0.7757 0.9319
Tm 0.5653 0.2243 0.0681
Tm 0.7757 0.9319 0.4347
Tm 0.9319 0.4347 0.7757
Sc 0.2209 0.6705 0.4375
Sc 0.3295 0.5625 0.7791
Sc 0.4375 0.2209 0.6705
Sc 0.5625 0.7791 0.3295
Sc 0.6705 0.4375 0.2209
Sc 0.7791 0.3295 0.5625



# 9
! Er3Tm2Sc3, optimized geometry, DFT PBE; values from VASP
! Distance to the lowest polymorph of the same formula (kJ/mol of formula units): 0
! Fermi-level density of states (states/eV/cell): 12.672
&SYSTEM
  ibrav = 0, nat = 8, ntyp = 3
/
ATOMIC_SPECIES
Er 167.26 Er.upf
Tm 168.93 Tm.upf
Sc 44.96 Sc.upf
CELL_PARAMETERS angstrom
11.4017 -1.7196 0.0000
11.4017 1.7196 0.0000
-1.5021 0.0000 5.7172
ATOMIC_POSITIONS crystal
Er 0.0000 0.0000 0.0000
Er 0.1231 0.1231 0.4631
Er 0.8769 0.8769 0.5369
Tm 0.2476 0.2476 0.2441
Tm 0.7524 0.7524 0.7559
Sc 0.3761 0.3761 0.0411
Sc 0.5000 0.5000 0.5000
Sc 0.6239 0.6239 0.9589



# 10
! Er4TmSc6, optimized geometry, DFT PBE; values from VASP
! Distance to the lowest polymorph of the same formula (kJ/mol of formula units): 0
! Fermi-level density of states (states/eV/cell): 37.051
&SYSTEM
  ibrav = 0, nat = 22, ntyp = 3
/
ATOMIC_SPECIES
Er 167.26 Er.upf
Tm 168.93 Tm.upf
Sc 44.96 Sc.upf
CELL_PARAMETERS angstrom
2.6663 -4.6138 0.0000
2.6663 4.6138 0.0000
0.0000 0.0000 24.2830
ATOMIC_POSITIONS crystal
Er 0.0007 0.9993 0.6230
Er 0.0007 0.9993 0.8770
Er 0.3336 0.6664 0.5414
Er 0.3336 0.6664 0.9586
Er 0.6664 0.3336 0.0414
Er 0.6664 0.3336 0.4586
Er 0.9993 0.0007 0.1230
Er 0.9993 0.0007 0.3770
Tm 0.3317 0.6683 0.2500
Tm 0.6683 0.3317 0.7500
Sc 0.0000 0.0000 0.0000
Sc 0.0000 0.0000 0.5000
Sc 0.0017 0.9983 0.7500
Sc 0.3328 0.6672 0.1037
Sc 0.3328 0.6672 0.3963
Sc 0.3345 0.6655 0.6835
Sc 0.3345 0.6655 0.8165
Sc 0.6655 0.3345 0.1835
Sc 0.6655 0.3345 0.3165
Sc 0.6672 0.3328 0.6037
Sc 0.6672 0.3328 0.8963
Sc 0.9983 0.0017 0.2500



# 11
! ErTmSc6, optimized geometry, DFT PBE; values from VASP
! Distance to the lowest polymorph of the same formula (kJ/mol of formula units): 34
! Fermi-level density of states (states/eV/cell): 15.249
&SYSTEM
  ibrav = 0, nat = 8, ntyp = 3
/
ATOMIC_SPECIES
Er 167.26 Er.upf
Tm 168.93 Tm.upf
Sc 44.96 Sc.upf
CELL_PARAMETERS angstrom
4.6976 -4.7023 0.0000
4.6976 4.7023 0.0000
0.0000 0.0000 4.6814
ATOMIC_POSITIONS crystal
Er 0.0000 0.0000 0.0000
Tm 0.5000 0.5000 0.0000
Sc 0.0000 0.5000 0.0000
Sc 0.2502 0.2502 0.5000
Sc 0.2502 0.7498 0.5000
Sc 0.5000 0.0000 0.0000
Sc 0.7498 0.2502 0.5000
Sc 0.7498 0.7498 0.5000



# 12
! Er4Tm5Sc, optimized geometry, DFT PBE; values from VASP
! Distance to the lowest polymorph of the same formula (kJ/mol of formula units): 203
! Fermi-level density of states (states/eV/cell): 12.814
&SYSTEM
  ibrav = 0, nat = 10, ntyp = 3
/
ATOMIC_SPECIES
Er 167.26 Er.upf
Tm 168.93 Tm.upf
Sc 44.96 Sc.upf
CELL_PARAMETERS angstrom
-5.2306 5.2306 2.8252
5.2306 -5.2306 2.8252
5.2306 5.2306 -2.8252
ATOMIC_POSITIONS crystal
Er 0.0000 0.3224 0.3224
Er 0.0000 0.6776 0.6776
Er 0.3224 0.0000 0.3224
Er 0.6776 0.0000 0.6776
Tm 0.2278 0.2278 0.0000
Tm 0.3205 0.3205 0.6260
Tm 0.3205 0.6945 0.0000
Tm 0.6945 0.3205 0.0000
Tm 0.6945 0.6945 0.3740
Sc 0.7577 0.7577 0.0000



# 13
! Er4TmSc6, optimized geometry, DFT PBE; values from VASP
! Distance to the lowest polymorph of the same formula (kJ/mol of formula units): 176
! Fermi-level density of states (states/eV/cell): 14.172
&SYSTEM
  ibrav = 0, nat = 11, ntyp = 3
/
ATOMIC_SPECIES
Er 167.26 Er.upf
Tm 168.93 Tm.upf
Sc 44.96 Sc.upf
CELL_PARAMETERS angstrom
-3.1362 3.1362 7.9158
3.1362 -3.1362 7.9158
3.1362 3.1362 -7.9158
ATOMIC_POSITIONS crystal
Er 0.0112 0.6308 0.0000
Er 0.3692 0.3692 0.3803
Er 0.6308 0.0112 0.0000
Er 0.9888 0.9888 0.6197
Tm 0.0000 0.0000 0.0000
Sc 0.0000 0.5000 0.5000
Sc 0.2097 0.2097 0.6540
Sc 0.4443 0.7903 0.0000
Sc 0.5000 0.0000 0.5000
Sc 0.5557 0.5557 0.3460
Sc 0.7903 0.4443 0.0000



# 14
! Er7Tm3Sc2, optimized geometry, DFT PBE; values from VASP
! Distance to the lowest polymorph of the same formula (kJ/mol of formula units): 210
! Fermi-level density of states (states/eV/cell): 20.210
&SYSTEM
  ibrav = 0, nat = 12, ntyp = 3
/
ATOMIC_SPECIES
Er 167.26 Er.upf
Tm 168.93 Tm.upf
Sc 44.96 Sc.upf
CELL_PARAMETERS angstrom
3.1809 1.8365 10.7096
-3.1809 1.8365 10.7096
0.0000 -3.6729 10.7096
ATOMIC_POSITIONS crystal
Er 0.0000 0.0000 0.0000
Er 0.0843 0.0843 0.5801
Er 0.0843 0.5801 0.0843
Er 0.4199 0.9157 0.9157
Er 0.5801 0.0843 0.0843
Er 0.9157 0.4199 0.9157
Er 0.9157 0.9157 0.4199
Tm 0.3487 0.3487 0.3487
Tm 0.5000 0.5000 0.5000
Tm 0.6513 0.6513 0.6513
Sc 0.1667 0.1667 0.1667
Sc 0.8333 0.8333 0.8333



# 15
! ErTm6Sc2, optimized geometry, DFT PBE; values from VASP
! Distance to the lowest polymorph of the same formula (kJ/mol of formula units): 56
! Fermi-level density of states (states/eV/cell): 24.907
&SYSTEM
  ibrav = 0, nat = 18, ntyp = 3
/
ATOMIC_SPECIES
Er 167.26 Er.upf
Tm 168.93 Tm.upf
Sc 44.96 Sc.upf
CELL_PARAMETERS angstrom
6.1505 -6.9909 0.0000
6.1505 6.9909 0.0000
-1.4689 0.0000 6.1055
ATOMIC_POSITIONS crystal
Er 0.1169 0.8831 0.7500
Er 0.8831 0.1169 0.2500
Tm 0.0545 0.2310 0.8065
Tm 0.0728 0.4542 0.2841
Tm 0.2310 0.0545 0.3065
Tm 0.2742 0.6404 0.9896
Tm 0.3596 0.7258 0.5104
Tm 0.4542 0.0728 0.7841
Tm 0.5458 0.9272 0.2159
Tm 0.6404 0.2742 0.4896
Tm 0.7258 0.3596 0.0104
Tm 0.7690 0.9455 0.6935
Tm 0.9272 0.5458 0.7159
Tm 0.9455 0.7690 0.1935
Sc 0.3471 0.3853 0.6371
Sc 0.3853 0.3471 0.1371
Sc 0.6147 0.6529 0.8629
Sc 0.6529 0.6147 0.3629



# 16
! ErTm12Sc7, optimized geometry, DFT PBE; values from VASP
! Distance to the lowest polymorph of the same formula (kJ/mol of formula units): 0
! Fermi-level density of states (states/eV/cell): 37.799
&SYSTEM
  ibrav = 0, nat = 20, ntyp = 3
/
ATOMIC_SPECIES
Er 167.26 Er.upf
Tm 168.93 Tm.upf
Sc 44.96 Sc.upf
CELL_PARAMETERS angstrom
7.2642 4.1940 3.1414
-7.2642 4.1940 3.1414
0.0000 -8.3879 3.1414
ATOMIC_POSITIONS crystal
Er 0.0000 0.0000 0.0000
Tm 0.0694 0.2953 0.4059
Tm 0.1982 0.6745 0.3863
Tm 0.2953 0.4059 0.0694
Tm 0.3255 0.6137 0.8018
Tm 0.3863 0.1982 0.6745
Tm 0.4059 0.0694 0.2953
Tm 0.5941 0.9306 0.7047
Tm 0.6137 0.8018 0.3255
Tm 0.6745 0.3863 0.1982
Tm 0.7047 0.5941 0.9306
Tm 0.8018 0.3255 0.6137
Tm 0.9306 0.7047 0.5941
Sc 0.0063 0.1070 0.6847
Sc 0.1070 0.6847 0.0063
Sc 0.3153 0.9937 0.8930
Sc 0.5000 0.5000 0.5000
Sc 0.6847 0.0063 0.1070
Sc 0.8930 0.3153 0.9937
Sc 0.9937 0.8930 0.3153



# 17
! Er5Tm2Sc4, optimized geometry, DFT PBE; values from VASP
! Distance to the lowest polymorph of the same formula (kJ/mol of formula units): 0
! Fermi-level density of states (states/eV/cell): 15.745
&SYSTEM
  ibrav = 0, nat = 11, ntyp = 3
/
ATOMIC_SPECIES
Er 167.26 Er.upf
Tm 168.93 Tm.upf
Sc 44.96 Sc.upf
CELL_PARAMETERS angstrom
8.6448 0.0000 0.0000
0.0000 3.4716 0.0000
-0.8492 0.0000 10.6215
ATOMIC_POSITIONS crystal
Er 0.0000 0.0000 0.0000
Er 0.0485 0.0000 0.3343
Er 0.3539 0.0000 0.8677
Er 0.6461 0.0000 0.1323
Er 0.9515 0.0000 0.6657
Tm 0.4248 0.0000 0.3641
Tm 0.5752 0.0000 0.6359
Sc 0.2543 0.5000 0.5751
Sc 0.2982 0.5000 0.1303
Sc 0.7018 0.5000 0.8697
Sc 0.7457 0.5000 0.4249



# 18
! Er5TmSc4, optimized geometry, DFT PBE; values from VASP
! Distance to the lowest polymorph of the same formula (kJ/mol of formula units): 0
! Fermi-level density of states (states/eV/cell): 17.645
&SYSTEM
  ibrav = 0, nat = 10, ntyp = 3
/
ATOMIC_SPECIES
Er 167.26 Er.upf
Tm 168.93 Tm.upf
Sc 44.96 Sc.upf
CELL_PARAMETERS angstrom
8.6186 -1.7136 0.0000
8.6186 1.7136 0.0000
-1.0489 0.0000 9.7367
ATOMIC_POSITIONS crystal
Er 0.0000 0.0000 0.0000
Er 0.3102 0.3102 0.9035
Er 0.3595 0.3595 0.2680
Er 0.6405 0.6405 0.7320
Er 0.6898 0.6898 0.0965
Tm 0.0000 0.0000 0.5000
Sc 0.1846 0.1846 0.4131
Sc 0.4503 0.4503 0.7338
Sc 0.5497 0.5497 0.2662
Sc 0.8154 0.8154 0.5869



# 19
! Er5Tm2Sc12, optimized geometry, DFT PBE; values from VASP
! Fermi-level density of states (states/eV/cell): 27.784
&SYSTEM
  ibrav = 0, nat = 19, ntyp = 3
/
ATOMIC_SPECIES
Er 167.26 Er.upf
Tm 168.93 Tm.upf
Sc 44.96 Sc.upf
CELL_PARAMETERS angstrom
7.2935 -4.3143 0.0000
7.2935 4.3143 0.0000
-0.4363 0.0000 8.1826
ATOMIC_POSITIONS crystal
Er 0.0000 0.0000 0.0000
Er 0.2345 0.2345 0.0736
Er 0.2877 0.2877 0.4841
Er 0.7123 0.7123 0.5159
Er 0.7655 0.7655 0.9264
Tm 0.3223 0.6777 0.5000
Tm 0.6777 0.3223 0.5000
Sc 0.0311 0.6747 0.2534
Sc 0.0689 0.0689 0.3705
Sc 0.1814 0.5595 0.8324
Sc 0.3253 0.9689 0.7466
Sc 0.4405 0.8186 0.1676
Sc 0.4475 0.4475 0.1626
Sc 0.5525 0.5525 0.8374
Sc 0.5595 0.1814 0.8324
Sc 0.6747 0.0311 0.2534
Sc 0.8186 0.4405 0.1676
Sc 0.9311 0.9311 0.6295
Sc 0.9689 0.3253 0.7466



Number 1: electronic total energy -56.2 eV/f.u., ΔH_f (0 K) 0.068 eV/atom. Number 2: electronic total energy -75.8 eV/f.u., ΔH_f (0 K) 0.168 eV/atom. Number 3: electronic total energy -49.6 eV/f.u., ΔH_f (0 K) 0.835 eV/atom. Number 4: electronic total energy -66.7 eV/f.u., ΔH_f (0 K) 0.205 eV/atom. Number 5: electronic total energy -67.2 eV/f.u., ΔH_f (0 K) 0.206 eV/atom. Number 6: electronic total energy -68.5 eV/f.u., ΔH_f (0 K) 0.014 eV/atom. Number 7: electronic total energy -58.9 eV/f.u., ΔH_f (0 K) 0.246 eV/atom. Number 8: electronic total energy -35.6 eV/f.u., ΔH_f (0 K) 0.199 eV/atom. Number 9: electronic total energy -41.4 eV/f.u., ΔH_f (0 K) 0.027 eV/atom. Number 10: electronic total energy -59.3 eV/f.u., ΔH_f (0 K) 0.126 eV/atom. Number 11: electronic total energy -46.6 eV/f.u., ΔH_f (0 K) 0.056 eV/atom. Number 12: electronic total energy -44.5 eV/f.u., ΔH_f (0 K) 0.244 eV/atom. Number 13: electronic total energy -57.5 eV/f.u., ΔH_f (0 K) 0.292 eV/atom. Number 14: electronic total energy -54.3 eV/f.u., ΔH_f (0 K) 0.307 eV/atom. Number 15: electronic total energy -43.0 eV/f.u., ΔH_f (0 K) 0.113 eV/atom. Number 16: electronic total energy -99.0 eV/f.u., ΔH_f (0 K) 0.175 eV/atom. Number 17: electronic total energy -56.0 eV/f.u., ΔH_f (0 K) 0.102 eV/atom. Number 18: electronic total energy -51.1 eV/f.u., ΔH_f (0 K) 0.154 eV/atom. Number 19: electronic total energy -105.3 eV/f.u., ΔH_f (0 K) 0.129 eV/atom.